Record 1
Computed, not measured: a geometry-optimized Ir3Se structure at the GGA-PBE level of DFT.

Structure (POSCAR):
```
Ir3Se
1.0
2.863 0.000 0.000
-1.432 2.480 0.000
0.000 0.000 25.717
Ir Se
9 3
direct
0.000 0.000 0.000 Ir
0.000 0.000 0.249 Ir
0.000 0.000 0.751 Ir
0.333 0.667 0.418 Ir
0.333 0.667 0.667 Ir
0.333 0.667 0.915 Ir
0.667 0.333 0.085 Ir
0.667 0.333 0.333 Ir
0.667 0.333 0.582 Ir
0.000 0.000 0.500 Se
0.333 0.667 0.167 Se
0.667 0.333 0.833 Se
```

Summary:
Space group: No. 166
Energy relative to the elements, uncorrected (eV/atom): 0.368
Distance to the lowest polymorph of the same formula (meV per atom): 80

Record 2
Computed, not measured: a geometry-optimized Al5Bi3S12 structure at the GGA-PBE level of DFT.

Structure (POSCAR):
```
Al5Bi3S12
1.0
-7.560 7.560 7.560
7.560 -7.560 7.560
7.560 7.560 -7.560
Al Bi S
20 12 48
direct
0.000 0.000 0.000 Al
0.000 0.000 0.500 Al
0.000 0.500 0.000 Al
0.000 0.500 0.500 Al
0.125 0.750 0.875 Al
0.125 0.875 0.250 Al
0.250 0.125 0.875 Al
0.250 0.625 0.375 Al
0.375 0.250 0.625 Al
0.375 0.625 0.750 Al
0.500 0.000 0.000 Al
0.500 0.000 0.500 Al
0.500 0.500 0.000 Al
0.500 0.500 0.500 Al
0.625 0.375 0.250 Al
0.625 0.750 0.375 Al
0.750 0.375 0.625 Al
0.750 0.875 0.125 Al
0.875 0.125 0.750 Al
0.875 0.250 0.125 Al
0.125 0.250 0.375 Bi
0.125 0.375 0.750 Bi
0.250 0.375 0.125 Bi
0.250 0.875 0.625 Bi
0.375 0.125 0.250 Bi
0.375 0.750 0.125 Bi
0.625 0.250 0.875 Bi
0.625 0.875 0.750 Bi
0.750 0.125 0.375 Bi
0.750 0.625 0.875 Bi
0.875 0.625 0.250 Bi
0.875 0.750 0.625 Bi
0.025 0.204 0.118 S
0.025 0.322 0.907 S
0.085 0.704 0.678 S
0.085 0.882 0.407 S
0.093 0.618 0.415 S
0.093 0.975 0.678 S
0.118 0.025 0.204 S
0.118 0.593 0.915 S
0.178 0.204 0.585 S
0.178 0.475 0.593 S
0.204 0.118 0.025 S
0.204 0.585 0.178 S
0.296 0.322 0.915 S
0.296 0.475 0.382 S
0.322 0.907 0.025 S
0.322 0.915 0.296 S
0.382 0.296 0.475 S
0.382 0.585 0.907 S
0.407 0.085 0.882 S
0.407 0.822 0.525 S
0.415 0.093 0.618 S
0.415 0.822 0.796 S
0.475 0.382 0.296 S
0.475 0.593 0.178 S
0.525 0.407 0.822 S
0.525 0.618 0.704 S
0.585 0.178 0.204 S
0.585 0.907 0.382 S
0.593 0.178 0.475 S
0.593 0.915 0.118 S
0.618 0.415 0.093 S
0.618 0.704 0.525 S
0.678 0.085 0.704 S
0.678 0.093 0.975 S
0.704 0.525 0.618 S
0.704 0.678 0.085 S
0.796 0.415 0.822 S
0.796 0.882 0.975 S
0.822 0.525 0.407 S
0.822 0.796 0.415 S
0.882 0.407 0.085 S
0.882 0.975 0.796 S
0.907 0.025 0.322 S
0.907 0.382 0.585 S
0.915 0.118 0.593 S
0.915 0.296 0.322 S
0.975 0.678 0.093 S
0.975 0.796 0.882 S
```

Summary:
Space group: No. 230
Energy relative to the elements, uncorrected (eV/atom): -0.771
Distance to the lowest polymorph of the same formula (meV per atom): 0

Record 3
Computed, not measured: a geometry-optimized MnAs2P structure at the GGA-PBE level of DFT.

Structure (POSCAR):
```
MnAs2P
1.0
2.963 0.000 0.000
-1.481 2.566 0.000
0.000 0.000 24.605
Mn As P
3 6 3
direct
0.000 0.000 0.000 Mn
0.333 0.667 0.667 Mn
0.667 0.333 0.333 Mn
0.000 0.000 0.263 As
0.000 0.000 0.737 As
0.333 0.667 0.404 As
0.333 0.667 0.930 As
0.667 0.333 0.070 As
0.667 0.333 0.596 As
0.000 0.000 0.500 P
0.333 0.667 0.167 P
0.667 0.333 0.833 P
```

Summary:
Space group: No. 166
Energy of formation (eV per atom): 0.3012

Record 4
Computed, not measured: a geometry-optimized Na2Hg2H structure at the GGA-PBE level of DFT.

Structure (POSCAR):
```
Na2Hg2H
1.0
-1.730 1.730 19.367
1.730 -1.730 19.367
1.730 1.730 -19.367
Na Hg H
4 4 2
direct
0.088 0.338 0.750 Na
0.338 0.088 0.250 Na
0.662 0.912 0.750 Na
0.912 0.662 0.250 Na
0.217 0.467 0.750 Hg
0.467 0.217 0.250 Hg
0.533 0.783 0.750 Hg
0.783 0.533 0.250 Hg
0.125 0.875 0.250 H
0.875 0.125 0.750 H
```

Summary:
Space group: No. 141
Total energy (eV per atom): -1.450

Record 5
Computed, not measured: a geometry-optimized SiNi2Rh structure at the GGA-PBE level of DFT.

Structure (POSCAR):
```
SiNi2Rh
1.0
3.661 0.000 0.000
0.000 2.732 0.000
0.000 0.000 9.689
Si Ni Rh
2 4 2
direct
0.000 0.000 0.000 Si
0.000 0.500 0.500 Si
0.000 0.000 0.742 Ni
0.000 0.500 0.242 Ni
0.500 0.000 0.140 Ni
0.500 0.500 0.640 Ni
0.500 0.000 0.402 Rh
0.500 0.500 0.902 Rh
```

Summary:
Space group: No. 38
Energy relative to the elements, uncorrected (eV/atom): -0.367

Record 6
Computed, not measured: a geometry-optimized ScAlGaTc structure at the GGA-PBE level of DFT.

Structure (POSCAR):
```
ScAlGaTc
1.0
6.353 0.000 0.000
0.000 6.353 0.000
0.000 0.000 6.353
Sc Al Ga Tc
4 4 4 4
direct
0.000 0.000 0.000 Sc
0.000 0.500 0.500 Sc
0.500 0.000 0.500 Sc
0.500 0.500 0.000 Sc
0.250 0.250 0.750 Al
0.250 0.750 0.250 Al
0.750 0.250 0.250 Al
0.750 0.750 0.750 Al
0.250 0.250 0.250 Ga
0.250 0.750 0.750 Ga
0.750 0.250 0.750 Ga
0.750 0.750 0.250 Ga
0.000 0.000 0.500 Tc
0.000 0.500 0.000 Tc
0.500 0.000 0.000 Tc
0.500 0.500 0.500 Tc
```

Summary:
Space group: No. 216
Energy of formation (eV per atom): -0.3494

Number 1: volume 182.6 Å³ per cell, density of states at the Fermi level 1.258 states/eV/atom. Number 2: volume 1728.5 Å³ per cell, density of states at the Fermi level 0.000 states/eV/atom. Number 3: volume 187.0 Å³ per cell, density of states at the Fermi level 0.677 states/eV/atom. Number 4: volume 231.8 Å³ per cell, density of states at the Fermi level 0.276 states/eV/atom. Number 5: volume 96.9 Å³ per cell, density of states at the Fermi level 1.434 states/eV/atom. Number 6: volume 256.4 Å³ per cell, density of states at the Fermi level 1.019 states/eV/atom.